Compound: LiFe2OF5
Source: Alexandria via LeMat-Bulk
Functional: GGA+U
Structure: optimized geometry

Cell: 4.6796 8.7694 8.7606 Å, 120.40 90.63 89.89°
Closest atoms and distances in Å follow each position.
Sites, in units of the cell vectors:
Li (0.0262, 0.3612, 0.9804)  1 O 1.98, 4 F 2.06-2.20
Li (0.9811, 0.6512, 0.6503)  5 F 2.06-2.27, 1 O 2.12
Li (0.0126, 0.0123, 0.3614)  1 O 2.07, 5 F 2.08-2.28
Fe (0.4833, 0.6781, 0.9873)  1 O 1.88, 4 F 1.96-2.02
Fe (0.4892, 0.3369, 0.6727)  1 O 1.82, 5 F 1.94-1.98
Fe (0.9881, 0.0030, 0.0019)  2 O 1.87-1.88, 4 F 2.00-2.05
Fe (0.5260, 0.0017, 0.7083)  1 O 1.82, 3 F 1.98-2.04
Fe (0.4600, 0.2865, 0.3003)  1 O 1.82, 3 F 1.98-2.04
Fe (0.5215, 0.6640, 0.3344)  6 F 1.93-1.99
O (0.2894, 0.4597, 0.8759)  2 Fe 1.82-1.88, 1 Li 1.98
O (0.7708, 0.8980, 0.7920)  2 Fe 1.82-1.87
O (0.2105, 0.1017, 0.2104)  2 Fe 1.82-1.88
F (0.2374, 0.1185, 0.8968)  2 Fe 1.98-2.05, 1 Li 2.12
F (0.7309, 0.2292, 0.7787)  2 Fe 1.97-2.01, 1 Li 2.06
F (0.2813, 0.1159, 0.5832)  2 Fe 1.94-2.14, 1 Li 2.08
F (0.7249, 0.5517, 0.7692)  2 Fe 1.96-2.01, 1 Li 2.06
F (0.2319, 0.7840, 0.8857)  2 Fe 1.96-2.02, 1 Li 2.12
F (0.7037, 0.2201, 0.4507)  2 Fe 1.97-2.03, 1 Li 2.14
F (0.2702, 0.4266, 0.5403)  2 Fe 1.98-2.04, 1 Li 2.18
F (0.2891, 0.7800, 0.5510)  2 Fe 1.98-2.04
F (0.7296, 0.5347, 0.4233)  1 Fe 1.93, 1 Li 2.07
F (0.7395, 0.8852, 0.4632)  2 Fe 1.96-2.12, 1 Li 2.17
F (0.2762, 0.4504, 0.2253)  2 Fe 1.98-2.04, 1 Li 2.20
F (0.7442, 0.2192, 0.1116)  2 Fe 1.98-2.00
F (0.2852, 0.7700, 0.2220)  2 Fe 1.99-2.02
F (0.7441, 0.5791, 0.1192)  2 Fe 1.95-2.13, 1 Li 2.13
F (0.7531, 0.8814, 0.1047)  2 Fe 1.99-2.04

- size of the total moment (μB per atom) = 0.89
- space group = No. 1
- VASP energy (eV/atom) = -5.280
- calculated volume (A^3/atom) = 11.48
- crystal system = triclinic